CaGaSn2 | PBE | optimized geometry

POSCAR file:
```
CaGaSn2
1.0
-2.176 -0.867 -3.872
3.852 0.587 -2.296
0.191 -4.665 3.581
Ca Ga Sn
1 1 2
direct
0.000 0.000 0.000 Ca
0.500 0.500 0.000 Ga
0.250 0.750 0.500 Sn
0.750 0.250 0.500 Sn
```

Ta4RhAu | PBE | optimized geometry

POSCAR file:
```
Ta4RhAu
1.0
-3.307 0.376 4.207
-4.436 2.998 -0.335
-4.820 -2.350 -0.159
Ta Rh Au
4 1 1
direct
0.876 0.375 0.375 Ta
0.375 0.375 0.876 Ta
0.375 0.876 0.375 Ta
0.375 0.375 0.375 Ta
0.000 0.000 0.000 Rh
0.750 0.750 0.750 Au
```

Number 1: energy relative to the elements -0.3562 eV per atom, VASP energy -14.459 eV per cell. Number 2: energy relative to the elements 0.2854 eV per atom, VASP energy -56.327 eV per cell.